No. 1
Computed, not measured: a relaxed Rb2HgSbCl6 crystal at the PBE level of DFT.

Structure (CIF):
```
data_Rb2HgSbCl6
_chemical_formula_sum 'Rb2 Hg1 Sb1 Cl6'
_cell_length_a 7.735
_cell_length_b 7.781
_cell_length_c 7.793
_cell_angle_alpha 119.68
_cell_angle_beta 90.29
_cell_angle_gamma 119.66
_space_group_name_H-M_alt 'P 1'
_space_group_IT_number 1
_space_group_name_Hall 'P 1'
loop_
_atom_site_label
_atom_site_type_symbol
_atom_site_fract_x
_atom_site_fract_y
_atom_site_fract_z
_atom_site_occupancy
Rb1 Rb 0.000 0.000 0.000 1
Rb2 Rb 0.476 0.947 0.471 1
Hg1 Hg 0.238 0.473 0.735 1
Sb1 Sb 0.738 0.473 0.235 1
Cl1 Cl 0.016 0.594 0.048 1
Cl2 Cl 0.460 0.352 0.422 1
Cl3 Cl 0.480 0.480 0.016 1
Cl4 Cl 0.561 0.010 0.937 1
Cl5 Cl 0.915 0.936 0.532 1
Cl6 Cl 0.996 0.465 0.454 1
```

No. 2
Computed, not measured: a relaxed RbScHgCl6 crystal at the PBE level of DFT.

Structure (CIF):
```
data_RbScHgCl6
_chemical_formula_sum 'Rb2 Sc2 Hg2 Cl12'
_cell_length_a 6.8794
_cell_length_b 6.8794
_cell_length_c 14.3610
_cell_angle_alpha 90.00
_cell_angle_beta 90.00
_cell_angle_gamma 120.00
_space_group_name_H-M_alt 'P -3 1 c'
_space_group_IT_number 163
_space_group_name_Hall '-P 3 2c'
loop_
_atom_site_label
_atom_site_type_symbol
_atom_site_fract_x
_atom_site_fract_y
_atom_site_fract_z
_atom_site_occupancy
Rb1 Rb 0.0000 0.0000 0.0000 1
Sc1 Sc 0.3333 0.6667 0.2500 1
Hg1 Hg 0.3333 0.6667 0.7500 1
Cl1 Cl 0.0223 0.3897 0.1466 1
```

No. 3
Computed, not measured: a relaxed Rb2ScHgCl6 crystal at the PBE level of DFT.

Structure (CIF):
```
data_Rb2ScHgCl6
_chemical_formula_sum 'Rb8 Sc4 Hg4 Cl24'
_cell_length_a 10.838
_cell_length_b 10.838
_cell_length_c 10.838
_cell_angle_alpha 90.00
_cell_angle_beta 90.00
_cell_angle_gamma 90.00
_space_group_name_H-M_alt 'F m -3 m'
_space_group_IT_number 225
_space_group_name_Hall '-F 4 2 3'
loop_
_atom_site_label
_atom_site_type_symbol
_atom_site_fract_x
_atom_site_fract_y
_atom_site_fract_z
_atom_site_occupancy
Rb1 Rb 0.250 0.250 0.250 1
Sc1 Sc 0.000 0.000 0.000 1
Hg1 Hg 0.000 0.000 0.500 1
Cl1 Cl 0.000 0.000 0.231 1
```

No. 4
Computed, not measured: a relaxed Rb2ScHgCl6 crystal at the PBE level of DFT.

Structure (CIF):
```
data_Rb2ScHgCl6
_chemical_formula_sum 'Rb4 Sc2 Hg2 Cl12'
_cell_length_a 7.522
_cell_length_b 10.813
_cell_length_c 7.881
_cell_angle_alpha 90.00
_cell_angle_beta 90.00
_cell_angle_gamma 90.00
_space_group_name_H-M_alt 'P m m n'
_space_group_IT_number 59
loop_
_space_group_symop_operation_xyz
'x,y,z'
'-x,-y,-z'
'-x+1/2,-y+1/2,z'
'x+1/2,y+1/2,-z'
'x+1/2,-y,-z'
'-x+1/2,y,z'
'-x,y+1/2,-z'
'x,-y+1/2,z'
loop_
_atom_site_label
_atom_site_type_symbol
_atom_site_fract_x
_atom_site_fract_y
_atom_site_fract_z
_atom_site_occupancy
Rb1 Rb 0.250 0.015 0.221 1
Sc1 Sc 0.250 0.750 0.769 1
Hg1 Hg 0.250 0.250 0.725 1
Cl1 Cl 0.011 0.750 0.550 1
Cl2 Cl 0.016 0.750 0.997 1
Cl3 Cl 0.250 0.519 0.775 1
```

No. 5
Computed, not measured: a relaxed RbSmHg2Cl8 crystal at the PBE level of DFT.

Structure (CIF):
```
data_RbSmHg2Cl8
_chemical_formula_sum 'Rb1 Sm1 Hg2 Cl8'
_cell_length_a 6.789
_cell_length_b 6.897
_cell_length_c 9.318
_cell_angle_alpha 71.79
_cell_angle_beta 80.29
_cell_angle_gamma 85.25
_space_group_name_H-M_alt 'P -1'
_space_group_IT_number 2
_space_group_name_Hall '-P 1'
loop_
_atom_site_label
_atom_site_type_symbol
_atom_site_fract_x
_atom_site_fract_y
_atom_site_fract_z
_atom_site_occupancy
Rb1 Rb 0.000 0.000 0.000 1
Sm1 Sm 0.000 0.000 0.500 1
Hg1 Hg 0.474 0.469 0.230 1
Cl1 Cl 0.136 0.735 0.747 1
Cl2 Cl 0.194 0.800 0.313 1
Cl3 Cl 0.333 0.238 0.470 1
Cl4 Cl 0.408 0.266 0.996 1
```

No. 6
Computed, not measured: a relaxed RbSnHgCl6 crystal at the PBE level of DFT.

Structure (CIF):
```
data_RbSnHgCl6
_chemical_formula_sum 'Rb2 Sn2 Hg2 Cl12'
_cell_length_a 7.0336
_cell_length_b 7.0336
_cell_length_c 14.4269
_cell_angle_alpha 90.00
_cell_angle_beta 90.00
_cell_angle_gamma 120.00
_space_group_name_H-M_alt 'P -3 1 c'
_space_group_IT_number 163
_space_group_name_Hall '-P 3 2c'
loop_
_atom_site_label
_atom_site_type_symbol
_atom_site_fract_x
_atom_site_fract_y
_atom_site_fract_z
_atom_site_occupancy
Rb1 Rb 0.0000 0.0000 0.0000 1
Sn1 Sn 0.3333 0.6667 0.2500 1
Hg1 Hg 0.3333 0.6667 0.7500 1
Cl1 Cl 0.0070 0.3799 0.1434 1
```

Asked for DOS at the Fermi energy across the records above, the calculation gives 3.0; 0.0; 18.0; 9.5; 0.0; 9.9 states/eV/cell in order.
Asked for total moment across the records above, the calculation gives 0.0; 0.0; 0.0; 0.0; 0.0; 0.7 μB/f.u. in order.
Asked for formation energy without anion corrections across the records above, the calculation gives -1.2062; -1.5877; -1.6627; -1.6626; -1.3569; -1.0254 eV per atom in order.